Record 1
# UPa2Sb

A relaxed UPa2Sb crystal (PBE, Alexandria).

V (Å³/cell): 96.2
Energy relative to the elements, uncorrected (eV/atom): 0.06
Magnetization (μB per formula unit): 0.00

a b c (Å): 3.786 3.786 8.056
angles (deg): 76.41 76.41 60.00
Element x y z (fractional)
1 U 0.000 0.000 0.000
2 Pa 0.264 0.264 0.209
3 Pa 0.736 0.736 0.791
4 Sb 0.500 0.500 0.500

=====

Record 2
# CeGd2Ho

A relaxed CeGd2Ho crystal (PBE, Alexandria).

Energy of formation from the pure elements (eV per atom): 0.15
V (Å³/cell): 129.2
Magnetization (μB per formula unit): 17.40

a b c (Å): 5.675 5.675 5.675
angles (deg): 60.00 60.00 60.00
Each line ends with the local moment (μB).
Element x y z (fractional)
1 Gd 0.250 0.250 0.250  7.36
2 Ce 0.500 0.500 0.500  1.12
3 Gd 0.750 0.750 0.750  7.36
4 Ho 0.000 0.000 0.000  0.30

=====

Record 3
# MnTe2Mo

A relaxed MnTe2Mo crystal (PBE, Alexandria).

V (Å³/cell): 104.9
Energy relative to the elements, uncorrected (eV/atom): -0.05
Magnetization (μB per formula unit): 2.21

a b c (Å): 3.828 3.831 7.152
angles (deg): 89.97 90.00 90.00
Each line ends with the local moment (μB).
Element x y z (fractional)
1 Mn 0.000 0.375 0.625  2.84
2 Te 0.500 0.375 0.358  -0.06
3 Mo 0.500 0.875 0.625  -0.45
4 Te 0.000 0.875 0.892  -0.06

=====

Record 4
# TiBe2Co

A relaxed TiBe2Co crystal (PBE, Alexandria).

Energy of formation from the pure elements (eV per atom): -0.14
V (Å³/cell): 44.5
Magnetization (μB per formula unit): 0.00

a b c (Å): 3.584 3.584 4.504
angles (deg): 66.55 66.55 60.00
Element x y z (fractional)
1 Be 0.710 0.710 0.870
2 Ti 0.500 0.500 0.500
3 Co 0.000 0.000 0.000
4 Be 0.290 0.290 0.130

=====

Record 5
# Mn2CuNiN

A relaxed Mn2CuNiN crystal (PBE, Alexandria).

V (Å³/cell): 54.4
Energy relative to the elements, uncorrected (eV/atom): -0.10
Magnetization (μB per formula unit): 4.74

a b c (Å): 3.772 3.772 3.822
angles (deg): 90.00 90.00 90.00
Each line ends with the local moment (μB).
Element x y z (fractional)
1 N 0.000 0.000 0.000  -0.11
2 Ni 0.000 0.000 0.500  0.22
3 Mn 0.500 0.000 0.000  2.24
4 Cu 0.500 0.500 0.500  0.15
5 Mn 0.000 0.500 0.000  2.24

=====

Record 6
# Ho3ScAg4S8

A relaxed Ho3ScAg4S8 crystal (PBE, Alexandria).

V (Å³/cell): 415.6
Energy relative to the elements, uncorrected (eV/atom): -1.28
Magnetization (μB per formula unit): 0.00

a b c (Å): 7.973 11.570 8.011
angles (deg): 131.33 119.84 90.00
Element x y z (fractional)
1 S 0.796 0.686 0.073
2 Ag 0.000 0.000 0.000
3 S 0.722 0.313 0.444
4 Ho 0.500 0.500 0.000
5 Ag 0.000 0.000 0.500
6 S 0.204 0.314 0.927
7 Ho 0.000 0.500 0.500
8 Ho 0.500 0.500 0.500
9 S 0.723 0.314 0.927
10 S 0.278 0.687 0.556
11 Ag 0.500 0.000 0.500
12 S 0.785 0.688 0.570
13 S 0.277 0.686 0.073
14 S 0.215 0.312 0.430
15 Sc 0.000 0.500 0.000
16 Ag 0.500 0.000 0.000

=====

What is the magnetization in the fourth record? 0.00 μB per formula unit

=====

Among the records above, which one has the highest V? Ho3ScAg4S8

=====

What is the V in the first record? 96.2 Å³/cell